A geometry-optimized Pu3Zn2Rh4 structure, computed with GGA-PBE. Values from VASP.

## Properties
Size of the total moment (μB per atom): 0.565
Energy above the most stable polymorph in this dataset (meV/atom): 6
DFT formation energy (eV/f.u.): -3.75
V (A^3/atom): 17.69

Cell and atoms, written as Quantum ESPRESSO input:
```
&SYSTEM
  ibrav = 0, nat = 9, ntyp = 3
/
ATOMIC_SPECIES
Pu 244.00 Pu.upf
Zn 65.41 Zn.upf
Rh 102.91 Rh.upf
ATOMIC_POSITIONS crystal
Pu 0.000 0.000 0.000
Pu 0.333 0.667 0.569
Pu 0.667 0.333 0.431
Zn 0.333 0.667 0.211
Zn 0.667 0.333 0.789
Rh 0.000 0.000 0.325
Rh 0.000 0.000 0.675
Rh 0.333 0.667 0.891
Rh 0.667 0.333 0.109
CELL_PARAMETERS angstrom
4.549 0.000 0.000
-2.275 3.940 0.000
0.000 0.000 8.884
```